DFT (GGA-PBE) results for a geometry-optimized Zr8Pb structure.

Cell lengths 4.3231, 7.2828, 7.2828 Å; angles 84.95, 72.73, 72.73 degrees
Element x y z (fractional)
Zr (0.0000, 0.3342, 0.6658)
Zr (0.3324, 0.3353, 0.0000)
Zr (0.3324, 0.0000, 0.3353)
Zr (0.0000, 0.6658, 0.3342)
Zr (0.6676, 0.6647, 0.0000)
Zr (0.6658, 0.3342, 0.3342)
Zr (0.3342, 0.6658, 0.6658)
Zr (0.6676, 0.0000, 0.6647)
Pb (0.0000, 0.0000, 0.0000)

Density of states at the Fermi level   1.1063 states/eV/atom
Theoretical density   7.441 g/cm³
Space group   I4/mmm, No. 139
ΔE_f   -0.6 eV per formula unit